Here is crystalline GaAgBi3 at its relaxed geometry from Alexandria via LeMat-Bulk. Energies are from PBE.

Computed properties:
- total DFT energy (no corrections) (eV for the cell shown) = -14.752
- DOS(E_F) (states/eV/f.u.) = 3.213
- SG = Pm-3m, No. 221
- formation enthalpy at 0 K (eV/atom) = 0.554
- total magnetization (μB per atom) = 0.00
- polymorph energy (0 for the lowest one) (meV/atom) = 0.0

abc: 5.5756 5.5756 5.5756
angles: 90.00 90.00 90.00
Sites, in units of the cell vectors:
Ga: 0.5000 0.5000 0.5000
Bi: 0.0000 0.5000 0.0000
Bi: 0.0000 0.0000 0.5000
Bi: 0.5000 0.0000 0.0000
Ag: 0.0000 0.0000 0.0000